# 1
{"formula": "Sr2Ge2Pt3", "functional": "PBE", "state": "relaxed", "formation_enthalpy_0k_mev_per_atom": -753, "m_tot_mub_per_fu": 0.0, "space_group": "C2/m", "n_ef_per_ev_fu": 2.555, "e_tot_ev_per_fu": -35.99, "lattice_angstrom": [[5.7377, -2.0311, 0.0000], [5.7377, 2.0311, 0.0000], [-3.1597, 0.0000, 6.6620]], "species": ["Sr", "Sr", "Ge", "Ge", "Pt", "Pt", "Pt"], "fractional_positions": [[0.1196, 0.1196, 0.2580], [0.8804, 0.8804, 0.7420], [0.1535, 0.1535, 0.7193], [0.8465, 0.8465, 0.2807], [0.3481, 0.3481, 0.0832], [0.5000, 0.5000, 0.5000], [0.6519, 0.6519, 0.9168]]}


# 2
{"formula": "SrGe4Pt2", "functional": "PBE", "state": "relaxed", "formation_enthalpy_0k_mev_per_atom": -553, "m_tot_mub_per_fu": 0.0, "space_group": "Pnma", "n_ef_per_ev_fu": 2.611, "e_tot_ev_per_fu": -36.10, "lattice_angstrom": [[17.6277, 0.0000, 0.0000], [0.0000, 4.4284, 0.0000], [0.0000, 0.0000, 6.9171]], "species": ["Sr", "Sr", "Sr", "Sr", "Ge", "Ge", "Ge", "Ge", "Ge", "Ge", "Ge", "Ge", "Ge", "Ge", "Ge", "Ge", "Ge", "Ge", "Ge", "Ge", "Pt", "Pt", "Pt", "Pt", "Pt", "Pt", "Pt", "Pt"], "fractional_positions": [[0.1437, 0.2500, 0.0145], [0.3563, 0.7500, 0.5145], [0.6437, 0.2500, 0.4855], [0.8563, 0.7500, 0.9855], [0.0358, 0.7500, 0.8608], [0.0636, 0.2500, 0.4668], [0.1796, 0.7500, 0.3245], [0.1917, 0.7500, 0.7273], [0.3083, 0.2500, 0.2273], [0.3204, 0.2500, 0.8245], [0.4364, 0.7500, 0.9668], [0.4642, 0.2500, 0.3608], [0.5358, 0.7500, 0.6392], [0.5636, 0.2500, 0.0332], [0.6796, 0.7500, 0.1755], [0.6917, 0.7500, 0.7727], [0.8083, 0.2500, 0.2727], [0.8204, 0.2500, 0.6755], [0.9364, 0.7500, 0.5332], [0.9642, 0.2500, 0.1392], [0.0282, 0.7500, 0.2435], [0.2093, 0.2500, 0.5313], [0.2907, 0.7500, 0.0313], [0.4718, 0.2500, 0.7435], [0.5282, 0.7500, 0.2565], [0.7093, 0.2500, 0.9687], [0.7907, 0.7500, 0.4687], [0.9718, 0.2500, 0.7565]]}


# 3
{"formula": "Sr3Ge2Pt4", "functional": "PBE", "state": "relaxed", "formation_enthalpy_0k_mev_per_atom": -838, "m_tot_mub_per_fu": 0.0, "e_above_lowest_polymorph_mev_per_atom": 0.0, "space_group": "C2/m", "n_ef_per_ev_fu": 3.272, "e_tot_ev_per_fu": -45.99, "lattice_angstrom": [[5.7824, -2.1652, 0.0000], [5.7824, 2.1652, 0.0000], [-3.5086, 0.0000, 8.5750]], "species": ["Sr", "Sr", "Sr", "Ge", "Ge", "Pt", "Pt", "Pt", "Pt"], "fractional_positions": [[0.0000, 0.0000, 0.0000], [0.3836, 0.3836, 0.3063], [0.6164, 0.6164, 0.6937], [0.3396, 0.3396, 0.7015], [0.6604, 0.6604, 0.2985], [0.1613, 0.1613, 0.4280], [0.2773, 0.2773, 0.9301], [0.7227, 0.7227, 0.0699], [0.8387, 0.8387, 0.5720]]}


# 4
{"formula": "Sr8GePt2", "functional": "PBE", "state": "relaxed", "formation_enthalpy_0k_mev_per_atom": -281, "m_tot_mub_per_fu": 0.0, "space_group": "P-3", "n_ef_per_ev_fu": 8.227, "e_tot_ev_per_fu": -33.25, "lattice_angstrom": [[9.7351, 0.0000, 0.0000], [-4.8675, 8.4308, 0.0000], [0.0000, 0.0000, 6.2832]], "species": ["Sr", "Sr", "Sr", "Sr", "Sr", "Sr", "Sr", "Sr", "Ge", "Pt", "Pt"], "fractional_positions": [[0.1607, 0.3239, 0.2544], [0.1632, 0.8393, 0.2544], [0.3239, 0.1632, 0.7456], [0.3333, 0.6667, 0.7694], [0.6667, 0.3333, 0.2306], [0.6761, 0.8368, 0.2544], [0.8368, 0.1607, 0.7456], [0.8393, 0.6761, 0.7456], [0.0000, 0.0000, 0.5000], [0.3333, 0.6667, 0.2778], [0.6667, 0.3333, 0.7222]]}


# 5
{"formula": "Sr2Ge7Pt12", "functional": "PBE", "state": "relaxed", "formation_enthalpy_0k_mev_per_atom": -598, "m_tot_mub_per_fu": 0.0, "space_group": "P-6", "n_ef_per_ev_fu": 8.739, "e_tot_ev_per_fu": -120.72, "lattice_angstrom": [[10.2978, 0.0000, 0.0000], [-5.1489, 8.9181, 0.0000], [0.0000, 0.0000, 4.0230]], "species": ["Sr", "Sr", "Ge", "Ge", "Ge", "Ge", "Ge", "Ge", "Ge", "Pt", "Pt", "Pt", "Pt", "Pt", "Pt", "Pt", "Pt", "Pt", "Pt", "Pt", "Pt"], "fractional_positions": [[0.0000, 0.0000, 0.0000], [0.3333, 0.6667, 0.5000], [0.0691, 0.4546, 0.0000], [0.2612, 0.2212, 0.5000], [0.3855, 0.9309, 0.0000], [0.5454, 0.6145, 0.0000], [0.6667, 0.3333, 0.0000], [0.7788, 0.0399, 0.5000], [0.9601, 0.7388, 0.5000], [0.0449, 0.2710, 0.5000], [0.1156, 0.7191, 0.0000], [0.2261, 0.9551, 0.5000], [0.2809, 0.3965, 0.0000], [0.3947, 0.1815, 0.0000], [0.5266, 0.4401, 0.5000], [0.5599, 0.0865, 0.5000], [0.6035, 0.8844, 0.0000], [0.7290, 0.7739, 0.5000], [0.7868, 0.6053, 0.0000], [0.8185, 0.2132, 0.0000], [0.9135, 0.4734, 0.5000]]}


# 6
{"formula": "SrGe12Pt4", "functional": "PBE", "state": "relaxed", "formation_enthalpy_0k_mev_per_atom": -368, "m_tot_mub_per_fu": 0.0, "space_group": "Im-3", "n_ef_per_ev_fu": 10.604, "e_tot_ev_per_fu": -87.52, "lattice_angstrom": [[-4.3807, 4.3807, 4.3807], [4.3807, -4.3807, 4.3807], [4.3807, 4.3807, -4.3807]], "species": ["Sr", "Ge", "Ge", "Ge", "Ge", "Ge", "Ge", "Ge", "Ge", "Ge", "Ge", "Ge", "Ge", "Pt", "Pt", "Pt", "Pt"], "fractional_positions": [[0.0000, 0.0000, 0.0000], [0.1509, 0.3551, 0.5060], [0.1509, 0.6449, 0.7957], [0.2043, 0.8491, 0.3551], [0.3551, 0.2043, 0.8491], [0.3551, 0.5060, 0.1509], [0.4940, 0.8491, 0.6449], [0.5060, 0.1509, 0.3551], [0.6449, 0.4940, 0.8491], [0.6449, 0.7957, 0.1509], [0.7957, 0.1509, 0.6449], [0.8491, 0.3551, 0.2043], [0.8491, 0.6449, 0.4940], [0.0000, 0.0000, 0.5000], [0.0000, 0.5000, 0.0000], [0.5000, 0.0000, 0.0000], [0.5000, 0.5000, 0.5000]]}